Below is an optimized crystal structure of Pr8TlGe3Te4, with properties calculated at the PBE level.

a = 8.8747 Å, b = 9.0354 Å, c = 8.8765 Å
α = 119.43°, β = 119.99°, γ = 90.00°
With the nearest neighbours (Å) after each atom.
Fractional positions:
Pr1 0.2501 0.7348 0.9847  2 Ge 3.07, 1 Tl 3.17, 3 Te 3.17-3.27
Pr2 0.2502 0.7348 0.5003  2 Ge 3.07, 1 Tl 3.17, 3 Te 3.17-3.27
Pr3 0.2592 0.2775 0.5185  3 Ge 3.05, 3 Te 3.29
Pr4 0.7346 0.7348 0.9847  2 Ge 3.07, 1 Tl 3.17, 3 Te 3.17-3.27
Pr5 0.2654 0.2652 0.0153  2 Ge 3.07, 1 Tl 3.17, 3 Te 3.17-3.27
Pr6 0.7408 0.7225 0.4815  3 Ge 3.05, 3 Te 3.29
Pr7 0.7498 0.2652 0.4997  2 Ge 3.07, 1 Tl 3.17, 3 Te 3.17-3.27
Pr8 0.7499 0.2652 0.0153  2 Ge 3.07, 1 Tl 3.17, 3 Te 3.17-3.27
Tl1 0.0000 0.5000 0.0000  6 Pr 3.17
Ge1 0.5000 0.5000 0.0000  6 Pr 3.05-3.07
Ge2 0.5000 0.5000 0.5000  6 Pr 3.05-3.07
Ge3 0.0000 0.5000 0.5000  6 Pr 3.05-3.07
Te1 0.5000 0.0000 0.0000  6 Pr 3.17
Te2 0.5000 0.0000 0.5000  6 Pr 3.27-3.29
Te3 0.0000 0.0000 0.0000  6 Pr 3.27-3.29
Te4 0.0000 0.0000 0.5000  6 Pr 3.27-3.29

Properties
**Magnetization**: 0.0 Bohr magnetons per cell
**Energy relative to the elements, uncorrected**: -1.12 eV/atom